The following is a GGA-PBE calculation of a relaxed Pa2CdPt crystal, from Alexandria.

Calculated values
Raw total energy: -0.248 hartree per atom
Density of states at the Fermi level: 6.6 states/eV per cell
Spin magnetization: 0.000 μB/cell
ΔE to the lowest computed polymorph: 0.0 meV per atom

Cell and atoms, written as extended XYZ:
```
4
Lattice="-1.315 -0.718 -3.441 1.761 -3.315 0.019 -5.459 -2.885 2.689" Properties=species:S:1:pos:R:3 pbc="T T T"
Pt 0.223 -2.016 -1.711
Pa -1.124 -0.594 0.554
Pa -4.335 -2.291 2.135
Cd -2.506 -3.459 -0.367
```